DFT (PBE) results for crystalline BaCoCl at its relaxed geometry.

Geometry as POSCAR:
```
BaCoCl
1.0
5.299 0.000 0.000
-2.650 4.589 0.000
0.000 0.000 8.256
Ba Co Cl
2 2 2
Direct
0.333 0.667 0.250
0.667 0.333 0.750
0.000 0.000 0.000
0.000 0.000 0.500
0.000 0.000 0.250
0.000 0.000 0.750
```

Properties
* density: 3.83 g/cm3
* raw total energy: -23.205 eV per cell
* energy above the lowest structure with this stoichiometry: 1.91 eV/f.u.

DFT (PBE) results for crystalline La4Dy4Tm3 at its relaxed geometry.

Geometry as POSCAR:
```
La4Dy4Tm3
1.0
3.524 0.000 0.000
0.000 5.712 0.000
-1.760 -2.847 17.905
La Dy Tm
4 4 3
Direct
0.092 0.091 0.184
0.230 0.730 0.460
0.770 0.270 0.540
0.908 0.909 0.816
0.045 0.544 0.090
0.182 0.182 0.363
0.818 0.818 0.637
0.955 0.456 0.910
0.364 0.365 0.728
0.500 0.000 0.000
0.636 0.635 0.272
```

Properties
* density: 7.89 g/cm3
* raw total energy: -50.781 eV per cell